(1)
The following is a PBE calculation of a relaxed V3AgPd crystal, from Alexandria via LeMat-Bulk.

Final energy   -5.8179 eV per atom
ΔE_f   1.262 eV/atom
Distance to the lowest polymorph of the same formula   0.000 eV per atom

Unit cell a=4.7538 b=4.7538 c=4.7538 alpha=90.00 beta=90.00 gamma=90.00
Space group Pm-3m (No. 221)
Unique sites:
V (0.0000, 0.0000, 0.5000) x3
Ag (0.5000, 0.5000, 0.5000) x1
Pd (0.0000, 0.0000, 0.0000) x1

(2)
The following is a PBE calculation of a relaxed ErInAu4 crystal, from Alexandria via LeMat-Bulk.

Final energy   -3.9263 eV per atom
ΔE_f   -0.525 eV/atom
Distance to the lowest polymorph of the same formula   0.000 eV per atom

Unit cell a=5.1151 b=9.2191 c=5.0914 alpha=90.00 beta=90.00 gamma=90.00
Space group Cmmm (No. 65)
Unique sites:
Er (0.0000, 0.0000, 0.0000) x2
In (0.0000, 0.5000, 0.5000) x2
Au (0.0000, 0.1679, 0.5000) x4
Au (0.0000, 0.3323, 0.0000) x4

(3)
The following is a PBE calculation of a relaxed DyY2Hg2 crystal, from Alexandria via LeMat-Bulk.

Final energy   -4.0251 eV per atom
ΔE_f   -0.398 eV/atom
Distance to the lowest polymorph of the same formula   0.008 eV per atom

Unit cell a=3.7592 b=5.2946 c=13.7406 alpha=90.00 beta=97.91 gamma=90.00
Space group P2_1/m (No. 11)
Unique sites:
Dy (0.1459, 0.2500, 0.2917) x2
Y (0.0471, 0.7500, 0.0948) x2
Y (0.2351, 0.7500, 0.4706) x2
Hg (0.3564, 0.2500, 0.7122) x2
Hg (0.4523, 0.7500, 0.9038) x2